(1)
Na2SnTe | PBE-GGA | optimized geometry Values from VASP.

Computed properties:
DOS(E_F) (states/eV per cell): 4.5
Calculated volume (Å³/cell): 246.01
Final energy (eV per atom): -2.697
Offset from the most stable computed form (eV/atom): 0.034

The structure in Quantum ESPRESSO input format:
```
&SYSTEM
  ibrav = 0, nat = 8, ntyp = 3
/
ATOMIC_SPECIES
Na 22.99 Na.upf
Sn 118.71 Sn.upf
Te 127.60 Te.upf
CELL_PARAMETERS angstrom
-4.371 4.371 3.219
4.371 -4.371 3.219
4.371 4.371 -3.219
ATOMIC_POSITIONS crystal
Na 0.101 0.625 0.976
Na 0.375 0.351 0.476
Na 0.649 0.125 0.024
Na 0.875 0.899 0.524
Sn 0.250 0.750 0.500
Sn 0.500 0.500 0.000
Te 0.000 0.000 0.000
Te 0.750 0.250 0.500
```

=====

(2)
RbAl2Bi2 | PBE-GGA | optimized geometry Values from VASP.

Computed properties:
DOS(E_F) (states/eV per cell): 1.1
Calculated volume (Å³/cell): 175.28
Final energy (eV per atom): -3.355
Offset from the most stable computed form (eV/atom): 0.000
DFT formation energy (eV/atom): -0.11

The structure in Quantum ESPRESSO input format:
```
&SYSTEM
  ibrav = 0, nat = 5, ntyp = 3
/
ATOMIC_SPECIES
Rb 85.47 Rb.upf
Al 26.98 Al.upf
Bi 208.98 Bi.upf
CELL_PARAMETERS angstrom
-2.387 2.387 7.688
2.387 -2.387 7.688
2.387 2.387 -7.688
ATOMIC_POSITIONS crystal
Rb 0.000 0.000 0.000
Al 0.250 0.750 0.500
Al 0.750 0.250 0.500
Bi 0.358 0.358 0.000
Bi 0.642 0.642 0.000
```

=====

(3)
SmYLuZn | PBE-GGA | optimized geometry Values from VASP.

Computed properties:
DOS(E_F) (states/eV per cell): 4.5
Calculated volume (Å³/cell): 107.71
Final energy (eV per atom): -4.226
DFT formation energy (eV/atom): 0.02

The structure in Quantum ESPRESSO input format:
```
&SYSTEM
  ibrav = 0, nat = 4, ntyp = 4
/
ATOMIC_SPECIES
Sm 150.36 Sm.upf
Y 88.91 Y.upf
Lu 174.97 Lu.upf
Zn 65.41 Zn.upf
CELL_PARAMETERS angstrom
0.000 3.776 3.776
3.776 0.000 3.776
3.776 3.776 0.000
ATOMIC_POSITIONS crystal
Sm 0.000 0.000 0.000
Y 0.500 0.500 0.500
Lu 0.750 0.750 0.750
Zn 0.250 0.250 0.250
```

=====

(4)
SrLiTl2Br5 | PBE-GGA | optimized geometry Values from VASP.

Computed properties:
DOS(E_F) (states/eV per cell): 0.0
Calculated volume (Å³/cell): 623.72
Final energy (eV per atom): -3.285

The structure in Quantum ESPRESSO input format:
```
&SYSTEM
  ibrav = 0, nat = 18, ntyp = 4
/
ATOMIC_SPECIES
Sr 87.62 Sr.upf
Li 6.94 Li.upf
Tl 204.38 Tl.upf
Br 79.90 Br.upf
CELL_PARAMETERS angstrom
2.255 -9.603 0.000
2.255 9.603 0.000
0.000 0.000 14.402
ATOMIC_POSITIONS crystal
Sr 0.203 0.797 0.500
Sr 0.797 0.203 0.000
Li 0.449 0.551 0.897
Li 0.551 0.449 0.397
Tl 0.094 0.906 0.138
Tl 0.126 0.874 0.800
Tl 0.874 0.126 0.300
Tl 0.906 0.094 0.638
Br 0.042 0.958 0.486
Br 0.286 0.714 0.143
Br 0.315 0.685 0.857
Br 0.359 0.641 0.474
Br 0.493 0.507 0.242
Br 0.507 0.493 0.742
Br 0.641 0.359 0.974
Br 0.685 0.315 0.357
Br 0.714 0.286 0.643
Br 0.958 0.042 0.986
```

=====

(5)
BaAc2Tl | PBE-GGA | optimized geometry Values from VASP.

Computed properties:
DOS(E_F) (states/eV per cell): 6.0
Calculated volume (Å³/cell): 185.70
Final energy (eV per atom): -3.094
Offset from the most stable computed form (eV/atom): 0.139
DFT formation energy (eV/atom): 0.03

The structure in Quantum ESPRESSO input format:
```
&SYSTEM
  ibrav = 0, nat = 4, ntyp = 3
/
ATOMIC_SPECIES
Ba 137.33 Ba.upf
Ac 227.00 Ac.upf
Tl 204.38 Tl.upf
CELL_PARAMETERS angstrom
2.866 1.655 6.525
-2.866 1.655 6.525
0.000 -3.310 6.525
ATOMIC_POSITIONS crystal
Ba 0.000 0.000 0.000
Ac 0.556 0.556 0.556
Ac 0.785 0.785 0.785
Tl 0.192 0.192 0.192
```

=====

(6)
MnFe2Pb | PBE-GGA | optimized geometry Values from VASP.

Computed properties:
DOS(E_F) (states/eV per cell): 3.3
Calculated volume (Å³/cell): 60.39
Final energy (eV per atom): -7.004
DFT formation energy (eV/atom): 0.45

The structure in Quantum ESPRESSO input format:
```
&SYSTEM
  ibrav = 0, nat = 4, ntyp = 3
/
ATOMIC_SPECIES
Mn 54.94 Mn.upf
Fe 55.84 Fe.upf
Pb 207.20 Pb.upf
CELL_PARAMETERS angstrom
-1.699 2.125 4.181
1.699 -2.125 4.181
1.699 2.125 -4.181
ATOMIC_POSITIONS crystal
Mn 0.000 0.000 0.000
Fe 0.239 0.739 0.500
Fe 0.761 0.261 0.500
Pb 0.500 0.500 0.000
```

=====

(7)
Mn4Mo5 | PBE-GGA | optimized geometry Values from VASP.

Computed properties:
DOS(E_F) (states/eV per cell): 9.7
Calculated volume (Å³/cell): 126.50
Final energy (eV per atom): -9.947
Offset from the most stable computed form (eV/atom): 0.000
DFT formation energy (eV/atom): 0.15

The structure in Quantum ESPRESSO input format:
```
&SYSTEM
  ibrav = 0, nat = 9, ntyp = 2
/
ATOMIC_SPECIES
Mn 54.94 Mn.upf
Mo 95.94 Mo.upf
CELL_PARAMETERS angstrom
-4.501 4.501 1.561
4.501 -4.501 1.561
4.501 4.501 -1.561
ATOMIC_POSITIONS crystal
Mn 0.000 0.344 0.344
Mn 0.000 0.656 0.656
Mn 0.344 0.000 0.344
Mn 0.656 0.000 0.656
Mo 0.000 0.000 0.000
Mo 0.331 0.331 0.661
Mo 0.331 0.669 0.000
Mo 0.669 0.331 0.000
Mo 0.669 0.669 0.339
```

=====

(8)
KMgPS4 | PBE-GGA | optimized geometry Values from VASP.

Computed properties:
DOS(E_F) (states/eV per cell): 0.0
Calculated volume (Å³/cell): 336.78
Final energy (eV per atom): -4.381

The structure in Quantum ESPRESSO input format:
```
&SYSTEM
  ibrav = 0, nat = 14, ntyp = 4
/
ATOMIC_SPECIES
K 39.10 K.upf
Mg 24.30 Mg.upf
P 30.97 P.upf
S 32.06 S.upf
CELL_PARAMETERS angstrom
6.163 0.000 0.000
0.000 6.689 0.000
-2.550 0.000 8.170
ATOMIC_POSITIONS crystal
K 0.250 0.250 0.062
K 0.750 0.750 0.938
Mg 0.229 0.250 0.551
Mg 0.771 0.750 0.449
P 0.221 0.750 0.336
P 0.779 0.250 0.664
S 0.001 0.509 0.298
S 0.001 0.991 0.298
S 0.414 0.750 0.179
S 0.435 0.750 0.568
S 0.565 0.250 0.432
S 0.586 0.250 0.821
S 0.999 0.009 0.702
S 0.999 0.491 0.702
```

=====

(9)
KAlP2S | PBE-GGA | optimized geometry Values from VASP.

Computed properties:
DOS(E_F) (states/eV per cell): 3.2
Calculated volume (Å³/cell): 112.38
Final energy (eV per atom): -3.887
Offset from the most stable computed form (eV/atom): 0.000

The structure in Quantum ESPRESSO input format:
```
&SYSTEM
  ibrav = 0, nat = 5, ntyp = 4
/
ATOMIC_SPECIES
K 39.10 K.upf
Al 26.98 Al.upf
P 30.97 P.upf
S 32.06 S.upf
CELL_PARAMETERS angstrom
4.759 0.000 0.000
0.000 4.759 0.000
0.000 0.000 4.961
ATOMIC_POSITIONS crystal
K 0.000 0.000 0.000
Al 0.500 0.500 0.500
P 0.000 0.500 0.500
P 0.500 0.000 0.500
S 0.500 0.500 0.000
```

=====

(10)
LuGa2Sn | PBE-GGA | optimized geometry Values from VASP.

Computed properties:
DOS(E_F) (states/eV per cell): 1.7
Calculated volume (Å³/cell): 87.46
Final energy (eV per atom): -3.905
Offset from the most stable computed form (eV/atom): 0.159
DFT formation energy (eV/atom): -0.26

The structure in Quantum ESPRESSO input format:
```
&SYSTEM
  ibrav = 0, nat = 4, ntyp = 3
/
ATOMIC_SPECIES
Lu 174.97 Lu.upf
Ga 69.72 Ga.upf
Sn 118.71 Sn.upf
CELL_PARAMETERS angstrom
3.658 0.000 0.000
0.000 3.658 0.000
0.000 0.000 6.537
ATOMIC_POSITIONS crystal
Lu 0.000 0.000 0.000
Ga 0.500 0.500 0.263
Ga 0.500 0.500 0.737
Sn 0.000 0.000 0.500
```

=====

(11)
Y4TePSe2 | PBE-GGA | optimized geometry Values from VASP.

Computed properties:
DOS(E_F) (states/eV per cell): 3.1
Calculated volume (Å³/cell): 202.41
Final energy (eV per atom): -6.829

The structure in Quantum ESPRESSO input format:
```
&SYSTEM
  ibrav = 0, nat = 8, ntyp = 4
/
ATOMIC_SPECIES
Y 88.91 Y.upf
Te 127.60 Te.upf
P 30.97 P.upf
Se 78.96 Se.upf
CELL_PARAMETERS angstrom
7.117 0.000 0.000
0.000 4.112 0.000
-2.393 0.000 6.916
ATOMIC_POSITIONS crystal
Y 0.236 0.000 0.221
Y 0.255 0.500 0.782
Y 0.745 0.500 0.218
Y 0.764 0.000 0.779
Te 0.000 0.000 0.500
P 0.000 0.500 0.000
Se 0.500 0.000 0.000
Se 0.500 0.500 0.500
```

=====

(12)
Cr4Sb5 | PBE-GGA | optimized geometry Values from VASP.

Computed properties:
DOS(E_F) (states/eV per cell): 13.1
Calculated volume (Å³/cell): 372.32
Final energy (eV per atom): -6.221

The structure in Quantum ESPRESSO input format:
```
&SYSTEM
  ibrav = 0, nat = 18, ntyp = 2
/
ATOMIC_SPECIES
Cr 52.00 Cr.upf
Sb 121.76 Sb.upf
CELL_PARAMETERS angstrom
8.531 0.000 0.000
-4.266 7.388 0.000
0.000 0.000 5.907
ATOMIC_POSITIONS crystal
Cr 0.000 0.000 0.000
Cr 0.000 0.000 0.500
Cr 0.000 0.394 0.250
Cr 0.000 0.606 0.750
Cr 0.394 0.000 0.250
Cr 0.394 0.394 0.750
Cr 0.606 0.000 0.750
Cr 0.606 0.606 0.250
Sb 0.000 0.269 0.750
Sb 0.000 0.731 0.250
Sb 0.269 0.000 0.750
Sb 0.269 0.269 0.250
Sb 0.333 0.667 0.000
Sb 0.333 0.667 0.500
Sb 0.667 0.333 0.000
Sb 0.667 0.333 0.500
Sb 0.731 0.000 0.250
Sb 0.731 0.731 0.750
```